PRuBr2 | the Alexandria database | PBE | optimized geometry; magnetic moment = 0.80 μB/f.u.; energy = -13.9 eV per formula unit; V = 18.4 Å³/atom
1.0
0.000 3.326 3.326
3.326 0.000 3.326
3.326 3.326 0.000
P Ru Br
1 1 2
Cartesian
0.000 0.000 0.000
4.989 4.989 4.989
1.663 1.663 1.663
3.326 3.326 3.326